Tl4HgIr PBE optimized geometry; formation enthalpy at 0 K = 440 kJ/mol of formula units; magnetic moment = 0.0 μB/f.u.; symmetry = F-43m, No. 216
1.0
5.506 -1.223 2.520
0.596 -0.260 6.143
0.987 -5.428 2.780
Tl Ir Hg
4 1 1
direct
0.374 0.877 0.374
0.374 0.374 0.374
0.877 0.374 0.374
0.374 0.374 0.877
0.000 0.000 0.000
0.750 0.750 0.750